# 1
A geometry-optimized Nd5Ni2Ag structure. Source: Alexandria via LeMat-Bulk, functional PBE.

## Properties
* density of states at the Fermi level: 17.681 states/eV per cell
* total energy: -79.92 eV per cell
* SG: I4/mcm

Cell: 8.730 8.730 8.730 Å, 125.84 125.84 80.14°
Sites, in units of the cell vectors:
Nd (0.000, 0.000, 0.000)
Nd (0.025, 0.525, 0.824)
Nd (0.201, 0.025, 0.500)
Nd (0.299, 0.799, 0.824)
Nd (0.475, 0.299, 0.500)
Nd (0.500, 0.500, 0.000)
Nd (0.525, 0.701, 0.500)
Nd (0.701, 0.201, 0.176)
Nd (0.799, 0.975, 0.500)
Nd (0.975, 0.475, 0.176)
Ni (0.121, 0.379, 0.500)
Ni (0.379, 0.879, 0.258)
Ni (0.621, 0.121, 0.742)
Ni (0.879, 0.621, 0.500)
Ag (0.250, 0.250, 0.000)
Ag (0.750, 0.750, 0.000)

# 2
A geometry-optimized Nd12Ni6Ag structure. Source: Alexandria via LeMat-Bulk, functional PBE.

## Properties
* density of states at the Fermi level: 19.636 states/eV per cell
* total energy: -99.14 eV per cell
* SG: Im-3

Cell: 8.676 8.676 8.676 Å, 109.47 109.47 109.47°
Sites, in units of the cell vectors:
Nd (0.119, 0.305, 0.814)
Nd (0.186, 0.492, 0.305)
Nd (0.186, 0.881, 0.695)
Nd (0.305, 0.186, 0.492)
Nd (0.305, 0.814, 0.119)
Nd (0.492, 0.305, 0.186)
Nd (0.508, 0.695, 0.814)
Nd (0.695, 0.186, 0.881)
Nd (0.695, 0.814, 0.508)
Nd (0.814, 0.119, 0.305)
Nd (0.814, 0.508, 0.695)
Nd (0.881, 0.695, 0.186)
Ni (0.122, 0.500, 0.622)
Ni (0.378, 0.878, 0.500)
Ni (0.500, 0.378, 0.878)
Ni (0.500, 0.622, 0.122)
Ni (0.622, 0.122, 0.500)
Ni (0.878, 0.500, 0.378)
Ag (0.000, 0.000, 0.000)

# 3
A geometry-optimized Nd4NiAg2 structure. Source: Alexandria via LeMat-Bulk, functional PBE.

## Properties
* density of states at the Fermi level: 10.892 states/eV per cell
* total energy: -30.79 eV per cell
* SG: I4/mmm

Cell: 8.451 8.451 8.451 Å, 143.45 143.45 52.65°
Sites, in units of the cell vectors:
Nd (0.000, 0.500, 0.500)
Nd (0.186, 0.186, 0.000)
Nd (0.500, 0.000, 0.500)
Nd (0.814, 0.814, 0.000)
Ni (0.000, 0.000, 0.000)
Ag (0.383, 0.383, 0.000)
Ag (0.617, 0.617, 0.000)

# 4
A geometry-optimized Nd6NiAg structure. Source: Alexandria via LeMat-Bulk, functional PBE.

## Properties
* density of states at the Fermi level: 11.417 states/eV per cell
* total energy: -36.80 eV per cell
* SG: P-1

Cell: 6.707 6.721 7.881 Å, 90.08 114.79 119.50°
Sites, in units of the cell vectors:
Nd (0.027, 0.084, 0.274)
Nd (0.302, 0.552, 0.726)
Nd (0.330, 0.750, 0.275)
Nd (0.670, 0.250, 0.725)
Nd (0.698, 0.448, 0.274)
Nd (0.973, 0.916, 0.726)
Ni (0.500, 0.500, 0.500)
Ag (0.500, 0.000, 0.000)

# 5
A geometry-optimized NdNiAg structure. Source: Alexandria via LeMat-Bulk, functional PBE.

## Properties
* density of states at the Fermi level: 1.521 states/eV per cell
* total energy: -13.96 eV per cell
* SG: P3m1

Cell: 4.465 4.465 3.726 Å, 90.00 90.00 120.00°
Sites, in units of the cell vectors:
Nd (0.000, 0.000, 0.000)
Ni (0.333, 0.667, 0.501)
Ag (0.667, 0.333, 0.500)

# 6
A geometry-optimized Nd4NiAg3 structure. Source: Alexandria via LeMat-Bulk, functional PBE.

## Properties
* density of states at the Fermi level: 7.945 states/eV per cell
* total energy: -35.35 eV per cell
* SG: P4/mmm

Cell: 3.664 3.664 15.044 Å, 90.00 90.00 90.00°
Sites, in units of the cell vectors:
Nd (0.000, 0.000, 0.110)
Nd (0.000, 0.000, 0.371)
Nd (0.000, 0.000, 0.629)
Nd (0.000, 0.000, 0.890)
Ni (0.500, 0.500, 0.000)
Ag (0.500, 0.500, 0.242)
Ag (0.500, 0.500, 0.500)
Ag (0.500, 0.500, 0.758)

# 7
A geometry-optimized NdNiAg structure. Source: Alexandria via LeMat-Bulk, functional PBE.

## Properties
* density of states at the Fermi level: 3.928 states/eV per cell
* total energy: -28.67 eV per cell
* SG: Cmcm

Cell: 8.678 8.678 3.903 Å, 90.00 90.00 154.83°
Sites, in units of the cell vectors:
Nd (0.102, 0.898, 0.750)
Nd (0.898, 0.102, 0.250)
Ni (0.459, 0.541, 0.750)
Ni (0.541, 0.459, 0.250)
Ag (0.291, 0.709, 0.750)
Ag (0.709, 0.291, 0.250)

# 8
A geometry-optimized NdNi4Ag structure. Source: Alexandria via LeMat-Bulk, functional PBE.

## Properties
* density of states at the Fermi level: 7.052 states/eV per cell
* total energy: -31.99 eV per cell
* SG: F-43m

Cell: 5.015 5.015 5.015 Å, 60.00 60.00 60.00°
Sites, in units of the cell vectors:
Nd (0.000, 0.000, 0.000)
Ni (0.128, 0.624, 0.624)
Ni (0.624, 0.128, 0.624)
Ni (0.624, 0.624, 0.128)
Ni (0.624, 0.624, 0.624)
Ag (0.250, 0.250, 0.250)